# 1
VASP calculation (SCAN) on YCuW2O8 at its PBEsol-relaxed geometry.

- Magnetic moment: 0.030 μB/f.u.
- Formation energy (no corrections): -29.1 eV per formula unit

The structure in POSCAR format:
```
YCuW2O8
1.0
4.9690 0.0000 0.0000
0.0000 5.8701 0.0000
-4.4060 0.0000 9.9114
Y Cu W O
2 2 4 16
Direct
0.0000 0.1794 0.2500
0.0000 0.8206 0.7500
0.5000 0.2183 0.7500
0.5000 0.7817 0.2500
0.2345 0.3261 0.9850
0.2345 0.6739 0.4850
0.7655 0.3261 0.5150
0.7655 0.6739 0.0150
0.1589 0.4160 0.6138
0.1589 0.5840 0.1138
0.2144 0.1277 0.1080
0.2144 0.8723 0.6080
0.2726 0.1400 0.8592
0.2726 0.8600 0.3592
0.3455 0.3848 0.4061
0.3455 0.6152 0.9061
0.6545 0.3848 0.0939
0.6545 0.6152 0.5939
0.7274 0.1400 0.6408
0.7274 0.8600 0.1408
0.7856 0.1277 0.3920
0.7856 0.8723 0.8920
0.8411 0.4160 0.8862
0.8411 0.5840 0.3862
```

=====

# 2
VASP calculation (SCAN) on Na3LiCd at its PBEsol-relaxed geometry.

- ΔE_f: 152.6 kJ/mol of formula units
- Magnetic moment: 0.000 μB/f.u.

The structure in POSCAR format:
```
Na3LiCd
1.0
5.5220 0.0000 0.0000
0.0000 5.5220 0.0000
0.0000 0.0000 5.5220
Na Li Cd
3 1 1
Direct
0.0000 0.0000 0.5000
0.0000 0.5000 0.0000
0.5000 0.0000 0.0000
0.0000 0.0000 0.0000
0.5000 0.5000 0.5000
```

=====

# 3
VASP calculation (SCAN) on RbLaFeRe2 at its PBEsol-relaxed geometry.

- ΔE_f: 626.9 kJ/mol of formula units
- Magnetic moment: 1.621 μB/f.u.

The structure in POSCAR format:
```
RbLaFeRe2
1.0
4.5519 0.0000 0.0000
0.0000 4.5519 0.0000
0.0000 0.0000 5.3418
Rb La Fe Re
1 1 1 2
Direct
0.0000 0.0000 0.0000
0.5000 0.5000 0.0000
0.5000 0.5000 0.5000
0.0000 0.5000 0.5000
0.5000 0.0000 0.5000
```

=====

# 4
VASP calculation (SCAN) on Ag2PRh at its PBEsol-relaxed geometry.

- ΔE_f: 160.7 kJ/mol of formula units
- Magnetic moment: 0.920 μB/f.u.

The structure in POSCAR format:
```
Ag2PRh
1.0
2.7088 0.0000 0.0000
0.0000 2.7088 0.0000
0.0000 0.0000 8.3950
Ag P Rh
2 1 1
Direct
0.0000 0.0000 0.2467
0.0000 0.0000 0.7533
0.5000 0.5000 0.5000
0.5000 0.5000 0.0000
```